Density functional theory data (PBE-GGA) for a relaxed structure of Be2TlReAg.

size of the total moment: 0.7730 μB per atom
space group: P4/mmm, No. 123
calculated total energy: -3.08 eV/atom
N(E_F): 0.66 states/eV per atom
energy of formation: 1943 meV per atom
mass density: 8.2 g/cm³

abc: 4.433 4.433 5.323
angles: 90.00 90.00 90.00
Positions (direct):
Be 0.000 0.500 0.000
Be 0.500 0.000 0.000
Tl 0.000 0.000 0.000
Re 0.500 0.500 0.500
Ag 0.000 0.000 0.500

=====

Density functional theory data (PBE-GGA) for a relaxed structure of AlTcIr4.

size of the total moment: 0.3288 μB per atom
space group: F-43m, No. 216
calculated total energy: -7.91 eV/atom
N(E_F): 1.41 states/eV per atom
energy of formation: 351 meV per atom
mass density: 15.5 g/cm³

abc: 5.135 5.135 5.135
angles: 60.00 60.00 60.00
Positions (direct):
Al 0.000 0.000 0.000
Tc 0.750 0.750 0.750
Ir 0.375 0.375 0.375
Ir 0.375 0.375 0.875
Ir 0.375 0.875 0.375
Ir 0.875 0.375 0.375

=====

Density functional theory data (PBE-GGA) for a relaxed structure of Co2HgW.

size of the total moment: 0.4558 μB per atom
space group: C2/m, No. 12
calculated total energy: -6.40 eV/atom
N(E_F): 1.04 states/eV per atom
energy of formation: 465 meV per atom
mass density: 13.9 g/cm³

abc: 4.447 4.447 5.154
angles: 98.63 98.63 36.52
Positions (direct):
Co 0.243 0.243 0.196
Co 0.757 0.757 0.804
Hg 0.000 0.000 0.500
W 0.500 0.500 0.000

=====

Density functional theory data (PBE-GGA) for a relaxed structure of Hf4V.

size of the total moment: 0.0000 μB per atom
space group: Pm-3m, No. 221
calculated total energy: -9.08 eV/atom
N(E_F): 1.18 states/eV per atom
energy of formation: 703 meV per atom
mass density: 11.1 g/cm³

abc: 4.857 4.857 4.857
angles: 90.00 90.00 90.00
Positions (direct):
Hf 0.000 0.000 0.000
Hf 0.000 0.500 0.500
Hf 0.500 0.000 0.500
Hf 0.500 0.500 0.000
V 0.500 0.500 0.500

=====

Density functional theory data (PBE-GGA) for a relaxed structure of CaLaAl.

size of the total moment: 0.0000 μB per atom
space group: R-3m, No. 166
calculated total energy: -3.78 eV/atom
N(E_F): 0.03 states/eV per atom
energy of formation: -223 meV per atom
mass density: 3.7 g/cm³

abc: 8.057 8.057 8.057
angles: 39.04 39.04 39.04
Positions (direct):
Ca 0.204 0.204 0.204
Ca 0.796 0.796 0.796
La 0.374 0.374 0.374
La 0.626 0.626 0.626
Al 0.060 0.060 0.060
Al 0.940 0.940 0.940

=====

Density functional theory data (PBE-GGA) for a relaxed structure of Ni2IrBr.

size of the total moment: 0.0006 μB per atom
space group: F-43m, No. 216
calculated total energy: -4.66 eV/atom
formation energy without anion corrections: 0.865 eV per atom
N(E_F): 1.60 states/eV per atom
mass density: 11.5 g/cm³

abc: 4.304 4.304 4.304
angles: 60.00 60.00 60.00
Positions (direct):
Ni 0.000 0.000 0.000
Ni 0.250 0.250 0.250
Ir 0.750 0.750 0.750
Br 0.500 0.500 0.500

=====

Repeat the first record exactly.
Density functional theory data (PBE-GGA) for a relaxed structure of Be2TlReAg.

size of the total moment: 0.7730 μB per atom
space group: P4/mmm, No. 123
calculated total energy: -3.08 eV/atom
N(E_F): 0.66 states/eV per atom
energy of formation: 1943 meV per atom
mass density: 8.2 g/cm³

abc: 4.433 4.433 5.323
angles: 90.00 90.00 90.00
Positions (direct):
Be 0.000 0.500 0.000
Be 0.500 0.000 0.000
Tl 0.000 0.000 0.000
Re 0.500 0.500 0.500
Ag 0.000 0.000 0.500

=====

> Number 2 is which compound?

AlTcIr4